LiYHg after structural relaxation. Source: the Alexandria database, functional PBE.

Computed properties:
Crystal system: monoclinic
DFT formation energy, eV per atom: -0.300
ρ, g/cm³: 7.0
Calculated volume, Å³/cell: 140.5
Electronic total energy, eV per atom: -3.1935
Fermi-level density of states, states/eV/atom: 0.788

Structure (POSCAR):
```
LiYHg
1.0
3.618 -0.001 -0.274
0.000 3.630 -0.005
0.774 0.022 10.643
Li Hg Y
2 2 2
Direct
0.373 0.791 0.686
0.871 0.291 0.826
0.874 0.291 0.551
0.370 0.791 0.962
0.374 0.791 0.373
0.871 0.291 0.139
```

LiYHg after structural relaxation. Source: the Alexandria database, functional PBE.

Computed properties:
Crystal system: tetragonal
DFT formation energy, eV per atom: -0.278
ρ, g/cm³: 7.1
Calculated volume, Å³/cell: 69.0
Electronic total energy, eV per atom: -3.1708
Fermi-level density of states, states/eV/atom: 0.481

Structure (POSCAR):
```
LiYHg
1.0
3.787 0.000 0.000
0.000 3.787 0.000
-1.894 -1.894 4.812
Y Hg Li
1 1 1
Direct
0.946 0.946 0.893
0.272 0.272 0.543
0.632 0.632 0.264
```